Entry 1:
HfFe3Ir PBE optimized geometry; size of the total moment = 0.00 μB per atom; space group = Pm-3m; ΔH_f (0 K) = 1.207 eV per atom; N(E_F) = 2.1096 states/eV/atom; E above lowest polymorph = 0.0000 eV per atom
1.0
4.410 0.000 0.000
0.000 4.410 0.000
0.000 0.000 4.410
Fe Ir Hf
3 1 1
direct
0.000 0.500 0.000 Fe
0.000 0.000 0.500 Fe
0.500 0.000 0.000 Fe
0.000 0.000 0.000 Ir
0.500 0.500 0.500 Hf

---

Entry 2:
LaCeSi4Pd4 PBE optimized geometry; size of the total moment = 0.05 μB per atom; total energy = -0.4593 Ry/atom; space group = P4/mmm; N(E_F) = 0.8991 states/eV/atom
1.0
-4.047 1.064 0.770
0.084 -2.278 3.592
3.078 8.062 5.041
Pd Si Ce La
4 4 1 1
direct
0.500 0.000 0.247 Pd
0.000 0.500 0.753 Pd
0.500 0.000 0.753 Pd
0.000 0.500 0.247 Pd
0.500 0.500 0.118 Si
0.500 0.500 0.882 Si
0.000 0.000 0.380 Si
0.000 0.000 0.620 Si
0.000 0.000 0.000 Ce
0.500 0.500 0.500 La

---

Entry 3:
AlTc2Te PBE optimized geometry; size of the total moment = 0.00 μB per atom; space group = Fm-3m; N(E_F) = 0.6474 states/eV/atom; E above lowest polymorph = 0.0000 eV per atom
1.0
0.000 3.156 3.156
3.156 0.000 3.156
3.156 3.156 0.000
Tc Te Al
2 1 1
direct
0.750 0.750 0.750 Tc
0.250 0.250 0.250 Tc
0.500 0.500 0.500 Te
0.000 0.000 0.000 Al